1.
Density functional theory data (PBE-GGA) for a geometry-optimized HoPuGa structure.

```
data_HoPuGa
_cell_length_a 5.0025
_cell_length_b 5.0025
_cell_length_c 3.3940
_cell_angle_alpha 90.00
_cell_angle_beta 90.00
_cell_angle_gamma 120.00
_space_group_name_H-M_alt 'P 3 m 1'
_space_group_IT_number 156
loop_
_space_group_symop_operation_xyz
'x,y,z'
'-y,x-y,z'
'-x+y,-x,z'
'-y,-x,z'
'-x+y,y,z'
'x,x-y,z'
loop_
_atom_site_label
_atom_site_fract_x
_atom_site_fract_y
_atom_site_fract_z
_atom_site_occupancy
Ho1 0.0000 0.0000 0.0000 1
Pu1 0.6667 0.3333 0.5690 1
Ga1 0.3333 0.6667 0.2710 1
```

Results
Polymorph energy (0 for the lowest one) in eV per atom: 0.068
Calculated volume in Å³/f.u.: 73.56
Crystal system: trigonal
E in eV per atom: -7.462
Energy relative to the elements in eV/f.u.: -0.45

2.
Density functional theory data (PBE-GGA) for a geometry-optimized Ho2PuGa9 structure.

```
data_Ho2PuGa9
_cell_length_a 4.262
_cell_length_b 4.262
_cell_length_c 12.808
_cell_angle_alpha 90.00
_cell_angle_beta 90.00
_cell_angle_gamma 90.00
_space_group_name_H-M_alt 'P 4/m m m'
_space_group_IT_number 123
_space_group_name_Hall '-P 4 2'
loop_
_atom_site_label
_atom_site_fract_x
_atom_site_fract_y
_atom_site_fract_z
_atom_site_occupancy
Ho1 0.000 0.000 0.165 1
Pu1 0.000 0.000 0.500 1
Ga1 0.000 0.500 0.000 1
Ga2 0.000 0.500 0.334 1
Ga3 0.500 0.500 0.168 1
Ga4 0.500 0.500 0.500 1
```

Results
Calculated volume in Å³/f.u.: 232.68
Crystal system: tetragonal
E in eV per atom: -4.708
Energy relative to the elements in eV/f.u.: -5.77

3.
Density functional theory data (PBE-GGA) for a geometry-optimized HoPuGa2 structure.

```
data_HoPuGa2
_cell_length_a 3.5215
_cell_length_b 3.5215
_cell_length_c 27.3670
_cell_angle_alpha 90.00
_cell_angle_beta 90.00
_cell_angle_gamma 120.00
_space_group_name_H-M_alt 'R -3 m'
_space_group_IT_number 166
_space_group_name_Hall '-R 3 2"'
loop_
_atom_site_label
_atom_site_fract_x
_atom_site_fract_y
_atom_site_fract_z
_atom_site_occupancy
Ho1 0.0000 0.0000 0.0000 1
Pu1 0.0000 0.0000 0.5000 1
Ga1 0.0000 0.0000 0.2516 1
```

Results
Polymorph energy (0 for the lowest one) in eV per atom: 0.192
Calculated volume in Å³/f.u.: 97.97
Crystal system: trigonal
E in eV per atom: -6.465
Energy relative to the elements in eV/f.u.: -0.89

4.
Density functional theory data (PBE-GGA) for a geometry-optimized Ho2PuGa2Rh5 structure.

```
data_Ho2PuGa2Rh5
_cell_length_a 9.866
_cell_length_b 9.866
_cell_length_c 3.672
_cell_angle_alpha 90.00
_cell_angle_beta 90.00
_cell_angle_gamma 90.00
_space_group_name_H-M_alt 'P 4/m b m'
_space_group_IT_number 127
_space_group_name_Hall '-P 4 2ab'
loop_
_atom_site_label
_atom_site_fract_x
_atom_site_fract_y
_atom_site_fract_z
_atom_site_occupancy
Ho1 0.172 0.328 0.000 1
Pu1 0.000 0.000 0.000 1
Ga1 0.124 0.624 0.000 1
Rh1 0.000 0.500 0.500 1
Rh2 0.070 0.792 0.500 1
```

Results
Calculated volume in Å³/f.u.: 178.71
Crystal system: tetragonal
E in eV per atom: -7.393
Energy relative to the elements in eV/f.u.: -7.64

5.
Density functional theory data (PBE-GGA) for a geometry-optimized Ho2PuGa2Ru5 structure.

```
data_Ho2PuGa2Ru5
_cell_length_a 10.070
_cell_length_b 10.070
_cell_length_c 3.452
_cell_angle_alpha 90.00
_cell_angle_beta 90.00
_cell_angle_gamma 90.00
_space_group_name_H-M_alt 'P 4/m b m'
_space_group_IT_number 127
_space_group_name_Hall '-P 4 2ab'
loop_
_atom_site_label
_atom_site_fract_x
_atom_site_fract_y
_atom_site_fract_z
_atom_site_occupancy
Ho1 0.169 0.331 0.000 1
Pu1 0.000 0.000 0.000 1
Ga1 0.127 0.627 0.000 1
Ru1 0.000 0.500 0.500 1
Ru2 0.068 0.800 0.500 1
```

Results
Calculated volume in Å³/f.u.: 175.03
Crystal system: tetragonal
E in eV per atom: -7.955
Energy relative to the elements in eV/f.u.: -3.63

6.
Density functional theory data (PBE-GGA) for a geometry-optimized HoPuGaSi structure.

```
data_HoPuGaSi
_cell_length_a 7.038
_cell_length_b 7.038
_cell_length_c 7.038
_cell_angle_alpha 90.00
_cell_angle_beta 90.00
_cell_angle_gamma 90.00
_space_group_name_H-M_alt 'F -4 3 m'
_space_group_IT_number 216
_space_group_name_Hall 'F -4 2 3'
loop_
_atom_site_label
_atom_site_fract_x
_atom_site_fract_y
_atom_site_fract_z
_atom_site_occupancy
Ho1 0.000 0.000 0.000 1
Pu1 0.000 0.000 0.500 1
Ga1 0.250 0.250 0.250 1
Si1 0.250 0.250 0.750 1
```

Results
Calculated volume in Å³/f.u.: 87.15
Crystal system: cubic
E in eV per atom: -7.236
Uncorrected formation energy in kJ/mol of atoms: -38.25

Number 1: mass density 10.81 g cm⁻³. Number 2: mass density 8.57 g cm⁻³. Number 3: mass density 9.29 g cm⁻³. Number 4: mass density 11.41 g cm⁻³. Number 5: mass density 11.56 g cm⁻³. Number 6: mass density 9.65 g cm⁻³.